1.
VASP calculation (GGA-PBE) on crystalline MgCd5 at its relaxed geometry.

Size of the total moment (Bohr magnetons per cell): 0.00
D(E_F) (states/eV/atom): 0.319
SG: P-6m2 (187)
E_form (eV per atom): -0.01

abc: 3.148 3.148 15.653
angles: 90.00 90.00 120.00
Element x y z (fractional)
1 Cd 0.000 0.000 0.330
2 Cd 0.000 0.000 0.670
3 Cd 0.667 0.333 0.161
4 Cd 0.667 0.333 0.500
5 Mg 0.000 0.000 0.000
6 Cd 0.667 0.333 0.839



2.
VASP calculation (GGA-PBE) on crystalline Mg2Cd at its relaxed geometry.

Size of the total moment (Bohr magnetons per cell): 0.00
D(E_F) (states/eV/atom): 0.393
SG: P-6m2 (187)
E_form (eV per atom): -0.04

abc: 3.202 3.202 15.134
angles: 90.00 90.00 120.00
Element x y z (fractional)
1 Mg 0.667 0.333 0.830
2 Mg 0.667 0.333 0.500
3 Mg 0.667 0.333 0.170
4 Cd 0.000 0.000 0.335
5 Mg 0.000 0.000 0.000
6 Cd 0.000 0.000 0.665



3.
VASP calculation (GGA-PBE) on crystalline MgCd at its relaxed geometry.

Size of the total moment (Bohr magnetons per cell): 0.00
D(E_F) (states/eV/atom): 0.231
SG: P4_2/mnm (136)
E_form (eV per atom): 0.09

abc: 5.756 5.756 5.975
angles: 90.00 90.00 90.00
Element x y z (fractional)
1 Cd 0.310 0.690 0.500
2 Cd 0.690 0.310 0.500
3 Mg 0.308 0.692 0.000
4 Mg 0.692 0.308 0.000
5 Cd 0.810 0.810 0.000
6 Cd 0.190 0.190 0.000
7 Mg 0.192 0.192 0.500
8 Mg 0.808 0.808 0.500